The following is a SCAN calculation of a PBEsol-optimized structure of TcMo2Ru, from Alexandria.

Energy above the lowest structure with this stoichiometry, meV per atom: 0
Uncorrected energy, eV/f.u.: -138.9
Calculated formation energy, eV per atom: 0.188
Size of the total moment, Bohr magnetons per cell: 0.00

Structure (CIF):
```
data_TcMo2Ru
_cell_length_a 3.064
_cell_length_b 4.317
_cell_length_c 4.399
_cell_angle_alpha 90.00
_cell_angle_beta 90.00
_cell_angle_gamma 90.00
_symmetry_space_group_name_H-M 'P m m m'
_symmetry_Int_Tables_number 47
loop_
_symmetry_equiv_pos_as_xyz
'x,y,z'
'-x,-y,-z'
'-x,-y,z'
'x,y,-z'
'x,-y,-z'
'-x,y,z'
'-x,y,-z'
'x,-y,z'
loop_
_atom_site_label
_atom_site_fract_x
_atom_site_fract_y
_atom_site_fract_z
Tc1 0.000 0.000 0.000
Mo1 0.000 0.500 0.500
Mo2 0.500 0.500 0.000
Ru1 0.500 0.000 0.500
```